# 1
## ScZnOF2 (PBE-GGA)

Data for a relaxed ScZnOF2 crystal.

Results
**Polymorph energy (0 for the lowest one)**: 0.0 meV/atom
**DOS(E_F)**: 3.40 states/eV/f.u.
**Raw formation energy**: -2.48 eV per atom
**Total magnetic moment**: 0.00 μB/cell

Geometry as POSCAR:
```
ScZnOF2
1.0
-1.784 1.012 -3.575
-3.669 -1.109 1.516
-0.590 3.842 1.383
Sc Zn O F
1 1 1 2
direct
0.000 0.000 0.000 Sc
0.500 0.500 0.500 Zn
0.000 0.000 0.500 O
0.000 0.500 0.000 F
0.500 0.000 0.000 F
```

# 2
## ScZnOF2 (PBE-GGA)

Data for a relaxed ScZnOF2 crystal.

Results
**Polymorph energy (0 for the lowest one)**: 568.2 meV/atom
**DOS(E_F)**: 2.39 states/eV/f.u.
**Raw formation energy**: -1.91 eV per atom
**Total magnetic moment**: 0.98 μB/cell

Geometry as POSCAR:
```
ScZnOF2
1.0
3.996 0.000 0.000
0.000 3.996 0.000
0.000 0.000 3.955
Sc Zn O F
1 1 1 2
direct
0.500 0.500 0.500 Sc
0.000 0.000 0.000 Zn
0.000 0.000 0.500 O
0.000 0.500 0.000 F
0.500 0.000 0.000 F
```

# 3
## SeOF3 (PBE-GGA)

Data for a relaxed SeOF3 crystal.

Results
**Polymorph energy (0 for the lowest one)**: 1701.0 meV/atom
**DOS(E_F)**: 6.01 states/eV/f.u.
**Raw formation energy**: 0.54 eV per atom
**Total magnetic moment**: 0.00 μB/cell

Geometry as POSCAR:
```
SeOF3
1.0
3.912 0.000 0.000
0.000 3.912 0.000
0.000 0.000 3.912
O Se F
1 1 3
direct
0.000 0.000 0.000 O
0.500 0.500 0.500 Se
0.000 0.500 0.000 F
0.000 0.000 0.500 F
0.500 0.000 0.000 F
```

# 4
## SeO2F2 (PBE-GGA)

Data for a relaxed SeO2F2 crystal.

Results
**Polymorph energy (0 for the lowest one)**: 782.7 meV/atom
**DOS(E_F)**: 5.16 states/eV/f.u.
**Raw formation energy**: -0.16 eV per atom
**Total magnetic moment**: 1.37 μB/cell

Geometry as POSCAR:
```
SeO2F2
1.0
-2.682 2.533 0.793
-2.414 -1.859 -2.225
-1.182 -2.240 3.154
O Se F
2 1 2
direct
0.000 0.500 0.000 O
0.500 0.000 0.000 O
0.000 0.000 0.000 Se
0.500 0.500 0.500 F
0.000 0.000 0.500 F
```

# 5
## SeOF3 (PBE-GGA)

Data for a relaxed SeOF3 crystal.

Results
**Polymorph energy (0 for the lowest one)**: 0.0 meV/atom
**DOS(E_F)**: 0.85 states/eV/f.u.
**Raw formation energy**: -1.16 eV per atom
**Total magnetic moment**: 0.00 μB/cell

Geometry as POSCAR:
```
SeOF3
1.0
-2.014 5.311 0.945
-4.825 -1.323 -2.851
-4.072 -3.020 8.290
Se O F
4 4 12
direct
0.578 0.900 0.491 Se
0.900 0.422 0.241 Se
0.100 0.578 0.741 Se
0.422 0.100 0.991 Se
0.582 0.118 0.595 O
0.882 0.582 0.845 O
0.118 0.418 0.345 O
0.418 0.882 0.095 O
0.571 0.327 0.112 F
0.678 0.080 0.895 F
0.673 0.571 0.362 F
0.750 0.023 0.349 F
0.920 0.678 0.145 F
0.977 0.750 0.599 F
0.023 0.250 0.099 F
0.080 0.322 0.645 F
0.250 0.977 0.849 F
0.327 0.429 0.862 F
0.322 0.920 0.395 F
0.429 0.673 0.612 F
```

# 6
## SeOF2 (PBE-GGA)

Data for a relaxed SeOF2 crystal.

Results
**DOS(E_F)**: 0.00 states/eV/f.u.
**Raw formation energy**: -1.35 eV per atom
**Total magnetic moment**: 0.00 μB/cell

Geometry as POSCAR:
```
SeOF2
1.0
4.080 -0.205 0.000
-1.890 4.455 0.000
0.000 0.000 8.028
Se O F
2 2 4
direct
0.481 0.543 0.250 Se
0.519 0.457 0.750 Se
0.396 0.838 0.250 O
0.604 0.162 0.750 O
0.179 0.307 0.410 F
0.821 0.693 0.590 F
0.821 0.693 0.910 F
0.179 0.307 0.090 F
```

# 7
## SeOF (PBE-GGA)

Data for a relaxed SeOF crystal.

Results
**Raw formation energy**: -0.98 eV per atom
**Total magnetic moment**: 0.00 μB/cell

Geometry as POSCAR:
```
SeOF
1.0
-1.567 1.888 3.811
-2.247 -3.858 0.709
3.712 -3.627 3.222
Se O F
2 2 2
direct
0.504 0.708 0.763 Se
0.492 0.864 0.303 Se
0.528 0.049 0.810 O
0.468 0.523 0.256 O
0.105 0.619 0.766 F
0.891 0.953 0.300 F
```

# 8
## SeOF3 (PBE-GGA)

Data for a relaxed SeOF3 crystal.

Results
**Polymorph energy (0 for the lowest one)**: 825.0 meV/atom
**DOS(E_F)**: 8.35 states/eV/f.u.
**Raw formation energy**: -0.33 eV per atom
**Total magnetic moment**: 1.66 μB/cell

Geometry as POSCAR:
```
SeOF3
1.0
4.133 0.000 0.000
0.000 4.133 0.000
0.000 0.000 4.133
O Se F
1 1 3
direct
0.500 0.500 0.500 O
0.000 0.000 0.000 Se
0.000 0.500 0.000 F
0.000 0.000 0.500 F
0.500 0.000 0.000 F
```

- Look up the raw formation energy of the fifth one.
  -1.16 eV per atom

Copy entry 4 word for word.
## SeO2F2 (PBE-GGA)

Data for a relaxed SeO2F2 crystal.

Results
**Polymorph energy (0 for the lowest one)**: 782.7 meV/atom
**DOS(E_F)**: 5.16 states/eV/f.u.
**Raw formation energy**: -0.16 eV per atom
**Total magnetic moment**: 1.37 μB/cell

Geometry as POSCAR:
```
SeO2F2
1.0
-2.682 2.533 0.793
-2.414 -1.859 -2.225
-1.182 -2.240 3.154
O Se F
2 1 2
direct
0.000 0.500 0.000 O
0.500 0.000 0.000 O
0.000 0.000 0.000 Se
0.500 0.500 0.500 F
0.000 0.000 0.500 F
```